No. 1
Crystalline MnSnTe2C at its relaxed geometry, computed with PBE-GGA.

## Properties
Total moment ... 0.1 μB per cell
Formation energy from raw total energies ... 7.20 eV per formula unit

Unit cell a=4.6288 b=4.6288 c=4.5293 alpha=90.00 beta=90.00 gamma=90.00
Closest atoms and distances in Å follow each position.
Space group P4/mmm (No. 123)
Symmetry-distinct sites (fractional):
Mn  0.0000  0.0000  0.0000 [1 per cell]  8 Te 3.24, 4 Sn 3.27
Sn  0.5000  0.5000  0.0000 [1 per cell]  2 C 2.26
Te  0.0000  0.5000  0.5000 [2 per cell]  2 C 2.31
C  0.5000  0.5000  0.5000 [1 per cell]  2 Sn 2.26, 4 Te 2.31

No. 2
Crystalline Ti2MnSnC at its relaxed geometry, computed with PBE-GGA.

## Properties
Total moment ... 1.7 μB per cell
E_tot ... -8.02 eV per atom

Unit cell a=4.2817 b=4.2817 c=3.9201 alpha=90.00 beta=90.00 gamma=90.00
Closest atoms and distances in Å follow each position.
Space group P4/mmm (No. 123)
Symmetry-distinct sites (fractional):
Ti  0.0000  0.5000  0.0000 [2 per cell]  2 C 2.14
Mn  0.0000  0.0000  0.5000 [1 per cell]  2 C 1.96
Sn  0.5000  0.5000  0.5000 [1 per cell]  8 Ti 2.90, 4 Mn 3.03
C  0.0000  0.0000  0.0000 [1 per cell]  2 Mn 1.96, 4 Ti 2.14

No. 3
Crystalline MnV2SnC at its relaxed geometry, computed with PBE-GGA.

## Properties
Total moment ... 2.6 μB per cell
E_tot ... -8.25 eV per atom

Unit cell a=4.0638 b=4.0638 c=3.9933 alpha=90.00 beta=90.00 gamma=90.00
Closest atoms and distances in Å follow each position.
Space group P4/mmm (No. 123)
Symmetry-distinct sites (fractional):
Mn  0.0000  0.0000  0.0000 [1 per cell]  2 C 2.00
V  0.0000  0.5000  0.5000 [2 per cell]  2 C 2.03
Sn  0.5000  0.5000  0.0000 [1 per cell]  8 V 2.85, 4 Mn 2.87
C  0.0000  0.0000  0.5000 [1 per cell]  2 Mn 2.00, 4 V 2.03

No. 4
Crystalline Y2MnSnC at its relaxed geometry, computed with PBE-GGA.

## Properties
Total moment ... 1.1 μB per cell
E_tot ... -7.46 eV per atom

Unit cell a=5.0307 b=5.0307 c=3.8454 alpha=90.00 beta=90.00 gamma=90.00
Closest atoms and distances in Å follow each position.
Space group P4/mmm (No. 123)
Symmetry-distinct sites (fractional):
Y  0.0000  0.5000  0.0000 [2 per cell]  2 C 2.52
Mn  0.0000  0.0000  0.5000 [1 per cell]  2 C 1.92
Sn  0.5000  0.5000  0.5000 [1 per cell]  8 Y 3.17
C  0.0000  0.0000  0.0000 [1 per cell]  2 Mn 1.92

No. 5
Crystalline Mn6ZnSnC2 at its relaxed geometry, computed with PBE-GGA.

## Properties
Total moment ... 26.9 μB per cell
E_tot ... -6.34 eV per atom

Unit cell a=5.0481 b=5.0481 c=10.1833 alpha=90.00 beta=90.00 gamma=90.00
Closest atoms and distances in Å follow each position.
Space group P4/mmm (No. 123)
Symmetry-distinct sites (fractional):
Mn  0.0000  0.0000  0.2373 [2 per cell]  1 Zn 2.42, 1 Sn 2.67
Mn  0.0000  0.5000  0.0000 [2 per cell]  2 Zn 2.52
Mn  0.0000  0.5000  0.5000 [2 per cell]  2 Sn 2.52, 4 C 2.61
Zn  0.0000  0.0000  0.0000 [1 per cell]  6 Mn 2.42-2.52
Sn  0.0000  0.0000  0.5000 [1 per cell]  6 Mn 2.52-2.67
C  0.5000  0.5000  0.4363 [2 per cell]  1 C 1.30

No. 6
Crystalline Sr3MnC at its relaxed geometry, computed with PBE-GGA.

## Properties
Relative energy among the computed polymorphs ... 0.0 meV per atom
Total moment ... 4.8 μB per cell

Unit cell a=5.4581 b=5.4581 c=5.4581 alpha=90.00 beta=90.00 gamma=90.00
Closest atoms and distances in Å follow each position.
Space group Pm-3m (No. 221)
Symmetry-distinct sites (fractional):
Sr  0.0000  0.0000  0.5000 [3 per cell]  2 C 2.73
Mn  0.5000  0.5000  0.5000 [1 per cell]  12 Sr 3.86
C  0.0000  0.0000  0.0000 [1 per cell]  6 Sr 2.73

No. 7
Crystalline Sr2MnC2 at its relaxed geometry, computed with PBE-GGA.

## Properties
Relative energy among the computed polymorphs ... 471.5 meV per atom
Total moment ... 0.0 μB per cell

Unit cell a=6.1109 b=6.1109 c=4.2663 alpha=90.00 beta=90.00 gamma=90.00
Closest atoms and distances in Å follow each position.
Space group P4/mbm (No. 127)
Symmetry-distinct sites (fractional):
Sr  0.1581  0.3419  0.0000 [4 per cell]  2 C 2.56, 1 Sr 2.73
Mn  0.0000  0.0000  0.5000 [2 per cell]  4 C 2.25
C  0.1786  0.6786  0.5000 [4 per cell]  2 Mn 2.25

No. 8
Crystalline SrMn2C3 at its relaxed geometry, computed with PBE-GGA.

## Properties
Total moment ... 10.4 μB per cell
E_tot ... -7.88 eV per atom

Unit cell a=6.5868 b=10.1128 c=4.9932 alpha=90.00 beta=90.00 gamma=90.00
Closest atoms and distances in Å follow each position.
Space group Cmcm (No. 63)
Symmetry-distinct sites (fractional):
Sr  0.0000  0.2152  0.2500 [4 per cell]  6 C 2.88-3.02
Mn  0.1904  0.5000  0.0000 [8 per cell]  4 C 1.91-1.93
C  0.0000  0.4283  0.7500 [4 per cell]  4 Mn 1.91
C  0.1061  0.0614  0.7500 [8 per cell]  1 C 1.40